DFT (GGA+U) results for an optimized crystal structure of Rb2MnP4O12.

abc: 7.989 11.457 13.278
angles: 90.00 90.00 102.11
Last column: magnetic moment on the atom in μB.
Element x y z (fractional)
O (0.210, 0.596, 0.779)  0.01
P (0.911, 0.337, 0.171)  0.00
O (0.075, 0.405, 0.128)  0.00
O (0.828, 0.664, 0.651)  0.00
Rb (0.598, 0.161, 0.365)  0.00
P (0.591, 0.701, 0.186)  0.00
O (0.005, 0.100, 0.857)  0.01
P (0.182, 0.627, 0.430)  0.01
O (0.172, 0.336, 0.349)  0.00
O (0.988, 0.875, 0.600)  0.00
O (0.219, 0.159, 0.247)  0.01
O (0.811, 0.884, 0.980)  0.01
O (0.425, 0.095, 0.628)  0.00
P (0.668, 0.588, 0.591)  0.01
O (0.696, 0.456, 0.615)  0.00
Rb (0.402, 0.839, 0.635)  0.00
O (0.468, 0.877, 0.860)  0.01
O (0.344, 0.893, 0.041)  0.01
O (0.925, 0.595, 0.872)  0.00
P (0.589, 0.163, 0.671)  0.00
O (0.066, 0.769, 0.752)  0.00
Mn (0.240, 0.485, 0.648)  4.68
P (0.091, 0.201, 0.314)  0.00
O (0.311, 0.384, 0.520)  0.01
P (0.909, 0.799, 0.686)  0.00
O (0.189, 0.116, 0.020)  0.01
O (0.032, 0.623, 0.360)  0.01
O (0.692, 0.242, 0.580)  0.00
O (0.012, 0.125, 0.400)  0.00
P (0.818, 0.373, 0.570)  0.01
P (0.409, 0.299, 0.814)  0.00
O (0.328, 0.164, 0.849)  0.00
Rb (0.902, 0.339, 0.865)  0.00
Rb (0.419, 0.363, 0.116)  0.00
O (0.488, 0.375, 0.900)  0.00
Rb (0.919, 0.863, 0.384)  0.00
O (0.196, 0.956, 0.885)  0.00
Mn (0.740, 0.985, 0.852)  4.68
O (0.575, 0.905, 0.372)  0.00
O (0.532, 0.123, 0.140)  0.01
P (0.332, 0.412, 0.409)  0.01
Rb (0.098, 0.661, 0.135)  0.00
O (0.719, 0.659, 0.253)  0.01
O (0.281, 0.341, 0.747)  0.01
Mn (0.260, 0.015, 0.148)  4.68
O (0.566, 0.269, 0.748)  0.00
P (0.089, 0.663, 0.829)  0.00
O (0.844, 0.393, 0.459)  0.01
Rb (0.581, 0.637, 0.884)  0.00
O (0.934, 0.231, 0.248)  0.00
O (0.804, 0.044, 0.115)  0.00
O (0.290, 0.904, 0.279)  0.01
P (0.168, 0.088, 0.909)  0.01
P (0.318, 0.873, 0.930)  0.01
O (0.808, 0.258, 0.080)  0.00
P (0.832, 0.912, 0.091)  0.01
O (0.689, 0.616, 0.480)  0.01
O (0.192, 0.742, 0.920)  0.00
P (0.682, 0.127, 0.070)  0.01
O (0.710, 0.096, 0.721)  0.01
Mn (0.760, 0.515, 0.352)  4.68
O (0.505, 0.600, 0.643)  0.01
O (0.968, 0.377, 0.640)  0.01
P (0.411, 0.837, 0.329)  0.00
Rb (0.081, 0.137, 0.616)  0.00
O (0.790, 0.404, 0.221)  0.01
O (0.434, 0.731, 0.252)  0.00
O (0.495, 0.400, 0.357)  0.01
O (0.672, 0.836, 0.151)  0.00
O (0.512, 0.625, 0.100)  0.00
O (0.304, 0.544, 0.385)  0.00
O (0.156, 0.607, 0.541)  0.01
O (0.308, 0.758, 0.420)  0.00
O (0.781, 0.841, 0.753)  0.01
O (0.656, 0.107, 0.959)  0.01
O (0.995, 0.900, 0.143)  0.01

Results
For the uncorrected energy, the calculation gives -530.36 eV per cell. As for the total moment: 20.00 Bohr magnetons per cell.